--- A ---
Entry from the Alexandria database: an optimized crystal structure of RbZn2In2 (GGA-PBE).

Results
volume	263	Å³/cell

abc: 9.0937 9.0937 3.1760
angles: 90.00 90.00 90.00
Element x y z (fractional)
Zn 0.1539 0.6539 0.5000
Zn 0.3461 0.1539 0.5000
Zn 0.8461 0.3461 0.5000
Zn 0.6539 0.8461 0.5000
In 0.1320 0.3680 0.0000
In 0.8680 0.6320 0.0000
In 0.3680 0.8680 0.0000
In 0.6320 0.1320 0.0000
Rb 0.0000 0.0000 0.0000
Rb 0.5000 0.5000 0.0000

--- B ---
Entry from the Alexandria database: an optimized crystal structure of RbZn2In2 (GGA-PBE).

Results
volume	262	Å³/cell

abc: 9.0064 9.0064 3.2334
angles: 90.00 90.00 90.00
Element x y z (fractional)
In 0.6453 0.8547 0.5000
In 0.3547 0.1453 0.5000
In 0.8547 0.3547 0.5000
In 0.1453 0.6453 0.5000
Rb 0.5000 0.5000 0.0000
Rb 0.0000 0.0000 0.0000
Zn 0.3587 0.8587 0.0000
Zn 0.6413 0.1413 0.0000
Zn 0.1413 0.3587 0.0000
Zn 0.8587 0.6413 0.0000

Winner for stability: B

--- A ---
Entry from the Alexandria database: an optimized crystal structure of RbZn2In2 (GGA-PBE).

Results
volume	136	Å³/cell

abc: 4.7351 4.7351 6.9200
angles: 69.99 69.99 90.00
Element x y z (fractional)
Zn 0.3910 0.3910 0.2180
Zn 0.6090 0.6090 0.7820
Rb 0.0000 0.0000 0.0000
In 0.7500 0.2500 0.5000
In 0.2500 0.7500 0.5000

--- B ---
Entry from the Alexandria database: an optimized crystal structure of RbZn2In2 (GGA-PBE).

Results
volume	140	Å³/cell

abc: 4.8513 4.8513 6.8737
angles: 69.34 69.34 90.00
Element x y z (fractional)
In 0.6304 0.6304 0.7392
In 0.3696 0.3696 0.2608
Rb 0.0000 0.0000 0.0000
Zn 0.7500 0.2500 0.5000
Zn 0.2500 0.7500 0.5000

Winner for stability: A

--- A ---
Entry from the Alexandria database: an optimized crystal structure of RbZnIn3 (GGA-PBE).

Results
volume	149	Å³/cell

abc: 4.9050 4.9053 7.0696
angles: 69.88 69.89 90.22
Element x y z (fractional)
In 0.1445 0.4469 0.4175
In 0.7941 0.5975 0.1164
In 0.6433 0.9479 0.4175
Zn 0.0220 0.8258 0.6619
Rb 0.4038 0.2070 0.8978

--- B ---
Entry from the Alexandria database: an optimized crystal structure of RbZnIn3 (GGA-PBE).

Results
volume	300	Å³/cell

abc: 6.1620 7.5003 7.5005
angles: 120.02 90.00 90.00
Element x y z (fractional)
In 0.2500 0.8156 0.6313
In 0.7500 0.1843 0.8158
In 0.2500 0.8157 0.1842
In 0.2500 0.3687 0.1844
In 0.7500 0.6313 0.8156
In 0.7500 0.1844 0.3687
Zn 0.5000 0.0000 0.0000
Zn 0.0000 0.0000 0.0000
Rb 0.2501 0.3332 0.6666
Rb 0.7499 0.6668 0.3334

--- C ---
Entry from the Alexandria database: an optimized crystal structure of RbZnIn3 (GGA-PBE).

Results
volume	166	Å³/cell

abc: 5.4924 5.4924 5.4924
angles: 90.00 90.00 90.00
Element x y z (fractional)
In 0.0000 0.0000 0.5000
In 0.5000 0.0000 0.0000
In 0.0000 0.5000 0.0000
Zn 0.0000 0.0000 0.0000
Rb 0.5000 0.5000 0.5000

--- D ---
Entry from the Alexandria database: an optimized crystal structure of RbZnIn3 (GGA-PBE).

Results
volume	292	Å³/cell

abc: 6.6321 6.6321 6.6321
angles: 90.00 90.00 90.00
Element x y z (fractional)
Zn 0.5000 0.5000 0.5000
Rb 0.0000 0.0000 0.0000
In 0.0000 0.5000 0.0000
In 0.0000 0.0000 0.5000
In 0.5000 0.0000 0.0000

Winner for stability: A

--- A ---
Entry from the Alexandria database: an optimized crystal structure of RbZrIn (GGA-PBE).

Results
volume	192	Å³/cell

abc: 3.3519 3.3519 17.1116
angles: 90.00 90.00 90.00
Element x y z (fractional)
Rb 0.5000 0.5000 0.4868
Rb 0.5000 0.5000 0.1171
Zr 0.5000 0.5000 0.7888
Zr 0.0000 0.0000 0.9068
In 0.0000 0.0000 0.6594
In 0.0000 0.0000 0.2999

--- B ---
Entry from the Alexandria database: an optimized crystal structure of RbZrIn (GGA-PBE).

Results
volume	224	Å³/cell

abc: 15.7402 7.7735 7.7735
angles: 142.10 150.85 29.15
Element x y z (fractional)
Zr 0.7785 0.7939 0.2061
Zr 0.9695 0.1074 0.8926
In 0.4992 0.6144 0.3856
In 0.2372 0.4020 0.5980
Rb 0.2495 0.1260 0.8740
Rb 0.7354 0.0834 0.9166

Winner for stability: A

--- A ---
Entry from the Alexandria database: an optimized crystal structure of RbZrIn (GGA-PBE).

Results
volume	360	Å³/cell

abc: 9.1342 3.2077 12.2817
angles: 90.00 90.00 90.00
Element x y z (fractional)
Zr 0.9596 0.2500 0.1110
Zr 0.5404 0.7500 0.6110
Zr 0.4596 0.2500 0.3890
Zr 0.0404 0.7500 0.8890
Rb 0.1476 0.7500 0.5728
Rb 0.8524 0.2500 0.4272
Rb 0.6476 0.7500 0.9272
Rb 0.3524 0.2500 0.0728
In 0.8248 0.2500 0.7172
In 0.1752 0.7500 0.2828
In 0.3248 0.2500 0.7828
In 0.6752 0.7500 0.2172

--- B ---
Entry from the Alexandria database: an optimized crystal structure of RbZrIn (GGA-PBE).

Results
volume	239	Å³/cell

abc: 13.5555 4.6020 3.8689
angles: 90.00 97.96 90.00
Element x y z (fractional)
Zr 0.9590 0.0000 0.1048
Zr 0.7867 0.0000 0.5215
In 0.7828 0.5000 0.0194
In 0.9731 0.5000 0.6115
Rb 0.5370 0.5000 0.4006
Rb 0.2200 0.0000 0.7380

Winner for stability: B

--- A ---
Entry from the Alexandria database: an optimized crystal structure of RbZrIn (GGA-PBE).

Results
volume	259	Å³/cell

abc: 4.9243 4.9129 12.6597
angles: 101.10 89.43 120.09
Element x y z (fractional)
In 0.0768 0.8036 0.0061
In 0.1462 0.9550 0.2411
Rb 0.5425 0.7547 0.4445
Rb 0.3520 0.3408 0.8025
Zr 0.7814 0.2201 0.1235
Zr 0.4410 0.5379 0.1235

--- B ---
Entry from the Alexandria database: an optimized crystal structure of RbZrIn (GGA-PBE).

Results
volume	449	Å³/cell

abc: 14.1962 5.7539 5.4931
angles: 90.00 90.00 90.00
Element x y z (fractional)
In 0.0000 0.5000 0.0000
In 0.0000 0.0000 0.0000
In 0.5000 0.5000 0.5000
In 0.5000 0.0000 0.5000
Rb 0.7503 0.2500 0.2510
Rb 0.2497 0.7500 0.7490
Rb 0.2503 0.2500 0.2490
Rb 0.7497 0.7500 0.7510
Zr 0.0001 0.2500 0.5030
Zr 0.4999 0.7500 0.0030
Zr 0.9999 0.7500 0.4970
Zr 0.5001 0.2500 0.9970

Winner for stability: A

--- A ---
Entry from the Alexandria database: an optimized crystal structure of RbZrIn (GGA-PBE).

Results
volume	91	Å³/cell

abc: 5.6369 5.6369 3.2914
angles: 90.00 90.00 120.00
Element x y z (fractional)
Zr 0.3333 0.6667 0.0000
Rb 0.6667 0.3333 0.5000
In 0.0000 0.0000 0.0000

--- B ---
Entry from the Alexandria database: an optimized crystal structure of RbZrIn (GGA-PBE).

Results
volume	101	Å³/cell

abc: 5.2316 5.2316 5.2316
angles: 60.00 60.00 60.00
Element x y z (fractional)
In 0.7500 0.7500 0.7500
Rb 0.2500 0.2500 0.2500
Zr 0.5000 0.5000 0.5000

Winner for stability: A

--- A ---
Entry from the Alexandria database: an optimized crystal structure of RbZrIn2 (GGA-PBE).

Results
volume	116	Å³/cell

abc: 5.4820 5.4820 5.4820
angles: 60.00 60.00 60.00
Site moments in Bohr magnetons follow the coordinates.
Element x y z (fractional)
Rb 0.0000 0.0000 0.0000  0.02
Zr 0.5000 0.5000 0.5000  0.41
In 0.2500 0.2500 0.2500  0.01
In 0.7500 0.7500 0.7500  0.01

--- B ---
Entry from the Alexandria database: an optimized crystal structure of RbZrIn2 (GGA-PBE).

Results
volume	343	Å³/cell

abc: 5.8770 5.8770 10.7658
angles: 74.16 74.16 90.00
Element x y z (fractional)
In 0.9665 0.6250 0.2500
In 0.7835 0.1250 0.2500
In 0.8750 0.0335 0.7500
In 0.3750 0.2165 0.7500
Zr 0.7500 0.2500 0.5000
Zr 0.0000 0.0000 0.0000
Rb 0.5000 0.5000 0.0000
Rb 0.2500 0.7500 0.5000

Winner for stability: A

--- A ---
Entry from the Alexandria database: an optimized crystal structure of Rb2ZrIn2 (GGA-PBE).

Results
volume	350	Å³/cell

abc: 10.3799 10.3799 3.2510
angles: 90.00 90.00 90.00
Site moments in Bohr magnetons follow the coordinates.
Element x y z (fractional)
Rb 0.8767 0.6233 0.0000  0.00
Rb 0.3767 0.8767 0.0000  0.00
Rb 0.1233 0.3767 0.0000  0.00
Rb 0.6233 0.1233 0.0000  0.00
In 0.1776 0.6776 0.5000  -0.01
In 0.6776 0.8224 0.5000  -0.01
In 0.3224 0.1776 0.5000  -0.01
In 0.8224 0.3224 0.5000  -0.01
Zr 0.5000 0.5000 0.0000  0.12
Zr 0.0000 0.0000 0.0000  0.12

--- B ---
Entry from the Alexandria database: an optimized crystal structure of Rb2ZrIn2 (GGA-PBE).

Results
volume	217	Å³/cell

abc: 4.0895 4.0895 13.2681
angles: 81.13 81.13 90.00
Site moments in Bohr magnetons follow the coordinates.
Element x y z (fractional)
Rb 0.6148 0.6148 0.7705  0.03
Rb 0.3852 0.3852 0.2295  0.03
In 0.7500 0.2500 0.5000  -0.01
In 0.2500 0.7500 0.5000  -0.01
Zr 0.0000 0.0000 0.0000  1.41

Winner for stability: B

--- A ---
Entry from the Alexandria database: an optimized crystal structure of InRe (GGA-PBE).

Results
volume	77	Å³/cell

abc: 3.0128 3.0309 8.5556
angles: 79.78 90.00 90.00
Element x y z (fractional)
In 0.5000 0.9575 0.7098
In 0.0000 0.7925 0.0402
Re 0.0000 0.5815 0.4616
Re 0.5000 0.1685 0.2884

--- B ---
Entry from the Alexandria database: an optimized crystal structure of InRe (GGA-PBE).

Results
volume	174	Å³/cell

abc: 5.6514 5.6514 5.4534
angles: 90.00 90.00 90.00
Site moments in Bohr magnetons follow the coordinates.
Element x y z (fractional)
Re 0.6452 0.3548 0.5000  0.35
Re 0.1452 0.1452 0.0000  0.35
Re 0.8548 0.8548 0.0000  0.35
Re 0.3548 0.6452 0.5000  0.35
In 0.3160 0.6840 0.0000  0.00
In 0.1840 0.1840 0.5000  0.00
In 0.8160 0.8160 0.5000  0.00
In 0.6840 0.3160 0.0000  0.00

--- C ---
Entry from the Alexandria database: an optimized crystal structure of InRe (GGA-PBE).

Results
volume	256	Å³/cell

abc: 8.1812 8.1812 4.4084
angles: 90.00 90.00 120.00
Element x y z (fractional)
Re 0.5592 0.4408 0.7500
Re 0.4408 0.8816 0.2500
Re 0.1184 0.5592 0.2500
Re 0.8816 0.4408 0.7500
Re 0.5592 0.1184 0.7500
Re 0.4408 0.5592 0.2500
In 0.1881 0.8119 0.7500
In 0.3762 0.1881 0.2500
In 0.6238 0.8119 0.7500
In 0.1881 0.3762 0.7500
In 0.8119 0.6238 0.2500
In 0.8119 0.1881 0.2500

Winner for stability: A

--- A ---
Entry from the Alexandria database: an optimized crystal structure of InRe (GGA-PBE).

Results
volume	36	Å³/cell

abc: 2.8960 2.8960 4.7052
angles: 90.00 90.00 115.53
Element x y z (fractional)
Re 0.5000 0.5000 0.5000
In 0.0000 0.0000 0.0000

--- B ---
Entry from the Alexandria database: an optimized crystal structure of InRe (GGA-PBE).

Results
volume	77	Å³/cell

abc: 3.0364 3.0364 8.3994
angles: 90.00 90.00 90.00
Element x y z (fractional)
In 0.7500 0.7500 0.8356
In 0.2500 0.2500 0.1644
Re 0.2500 0.2500 0.5851
Re 0.7500 0.7500 0.4149

Winner for stability: B